(1)
Below is a relaxed structure of LaHfIn2, with properties calculated at the PBE level.

The value obtained for the energy of formation is -0.105 eV/atom. The crystal system is trigonal. As for the density of states at the Fermi level: 14.123 states/eV/cell. The value obtained for the total DFT energy (no corrections) is -5.195 eV/atom.

It has space group R-3m (No. 166, hexagonal axes), with a = 4.8440 Å, b = 4.8440 Å, c = 16.8927 Å, α = 90.00°, β = 90.00° and γ = 120.00°. The asymmetric unit holds La at (0.0000, 0.0000, 0.0000), Hf at (0.0000, 0.0000, 0.5000) and In at (0.0000, 0.0000, 0.2268).

***

(2)
Below is a relaxed structure of LaHfIn, with properties calculated at the PBE level.

The value obtained for the energy of formation is -0.070 eV/atom. The crystal system is triclinic. As for the density of states at the Fermi level: 5.311 states/eV/cell. The value obtained for the total DFT energy (no corrections) is -5.943 eV/atom.

It has space group P1 (No. 1), with a = 3.353 Å, b = 3.360 Å, c = 16.686 Å, α = 84.54°, β = 84.43° and γ = 60.25°. The asymmetric unit holds La at (0.000, 0.000, 0.000), La at (0.408, 0.421, 0.790), Hf at (0.183, 0.198, 0.466), Hf at (0.563, 0.576, 0.324), In at (0.279, 0.286, 0.171) and In at (0.799, 0.814, 0.619).

***

(3)
Below is a relaxed structure of La2HfInN, with properties calculated at the PBE level.

The crystal system is tetragonal. As for the density of states at the Fermi level: 5.705 states/eV/cell. The value obtained for the total DFT energy (no corrections) is -6.939 eV/atom. Its uncorrected formation energy is -0.764 eV per atom.

It has space group P4/mmm (No. 123), with a = 5.251 Å, b = 5.251 Å, c = 4.393 Å, α = 90.00°, β = 90.00° and γ = 90.00°. The asymmetric unit holds La at (0.000, 0.500, 0.000), Hf at (0.000, 0.000, 0.500), In at (0.500, 0.500, 0.500) and N at (0.000, 0.000, 0.000).

***

(4)
Below is a relaxed structure of La2HfNbIn, with properties calculated at the PBE level.

The value obtained for the energy of formation is 1.219 eV/atom. The crystal system is tetragonal. As for the density of states at the Fermi level: 8.438 states/eV/cell. The value obtained for the total DFT energy (no corrections) is -5.305 eV/atom.

It has space group P4/mmm (No. 123), with a = 5.892 Å, b = 5.892 Å, c = 5.321 Å, α = 90.00°, β = 90.00° and γ = 90.00°. The asymmetric unit holds La at (0.000, 0.500, 0.000), Hf at (0.000, 0.000, 0.500), Nb at (0.500, 0.500, 0.500) and In at (0.000, 0.000, 0.000).

***

(5)
Below is a relaxed structure of LaHf2InNi, with properties calculated at the PBE level.

The value obtained for the energy of formation is 1.378 eV/atom. The crystal system is tetragonal. As for the density of states at the Fermi level: 10.630 states/eV/cell. The value obtained for the total DFT energy (no corrections) is -5.293 eV/atom.

It has space group P4/mmm (No. 123), with a = 5.231 Å, b = 5.231 Å, c = 5.883 Å, α = 90.00°, β = 90.00° and γ = 90.00°. The asymmetric unit holds La at (0.000, 0.000, 0.000), Hf at (0.000, 0.500, 0.500), In at (0.000, 0.000, 0.500) and Ni at (0.500, 0.500, 0.000).

***

(6)
Below is a relaxed structure of La2HfInO, with properties calculated at the PBE level.

The crystal system is tetragonal. As for the density of states at the Fermi level: 5.267 states/eV/cell. The value obtained for the total DFT energy (no corrections) is -6.735 eV/atom. Its uncorrected formation energy is -1.234 eV per atom.

It has space group P4/mmm (No. 123), with a = 5.253 Å, b = 5.253 Å, c = 4.319 Å, α = 90.00°, β = 90.00° and γ = 90.00°. The asymmetric unit holds La at (0.000, 0.500, 0.000), Hf at (0.000, 0.000, 0.500), In at (0.500, 0.500, 0.500) and O at (0.000, 0.000, 0.000).

***

(7)
Below is a relaxed structure of LaHf2InOs, with properties calculated at the PBE level.

The value obtained for the energy of formation is 0.202 eV/atom. The crystal system is tetragonal. As for the density of states at the Fermi level: 8.607 states/eV/cell. As for the polymorph energy (0 for the lowest one): 0.00 eV per formula unit. The value obtained for the total DFT energy (no corrections) is -7.559 eV/atom.

It has space group P4/mmm (No. 123), with a = 5.084 Å, b = 5.084 Å, c = 5.509 Å, α = 90.00°, β = 90.00° and γ = 90.00°. The asymmetric unit holds La at (0.000, 0.000, 0.000), Hf at (0.000, 0.500, 0.500), In at (0.500, 0.500, 0.000) and Os at (0.000, 0.000, 0.500).

***

(8)
Below is a relaxed structure of LiHfIn, with properties calculated at the PBE level.

The value obtained for the energy of formation is -0.055 eV/atom. The crystal system is monoclinic. As for the density of states at the Fermi level: 3.610 states/eV/cell. As for the polymorph energy (0 for the lowest one): 0.50 eV per formula unit. The value obtained for the total DFT energy (no corrections) is -4.923 eV/atom.

It has space group P2_1/m (No. 11), with a = 5.269 Å, b = 3.207 Å, c = 7.666 Å, α = 90.00°, β = 98.65° and γ = 90.00°. The asymmetric unit holds Li at (0.249, 0.250, 0.487), Hf at (0.477, 0.750, 0.841) and In at (0.025, 0.750, 0.181).

***

(9)
Below is a relaxed structure of Li2HfIn3, with properties calculated at the PBE level.

The value obtained for the energy of formation is -0.231 eV/atom. The crystal system is tetragonal. As for the density of states at the Fermi level: 1.766 states/eV/cell. The value obtained for the total DFT energy (no corrections) is -3.897 eV/atom.

It has space group P4/mmm (No. 123), with a = 3.226 Å, b = 3.226 Å, c = 11.613 Å, α = 90.00°, β = 90.00° and γ = 90.00°. The asymmetric unit holds Li at (0.000, 0.000, 0.159), Hf at (0.000, 0.000, 0.500), In at (0.500, 0.500, 0.000) and In at (0.500, 0.500, 0.319).

***

(10)
Below is a relaxed structure of LiHfIn, with properties calculated at the PBE level.

The value obtained for the energy of formation is -0.112 eV/atom. The crystal system is orthorhombic. As for the density of states at the Fermi level: 5.707 states/eV/cell. As for the polymorph energy (0 for the lowest one): 0.33 eV per formula unit. The value obtained for the total DFT energy (no corrections) is -4.980 eV/atom.

It has space group Immm (No. 71), with a = 3.317 Å, b = 4.339 Å, c = 17.239 Å, α = 90.00°, β = 90.00° and γ = 90.00°. The asymmetric unit holds Li at (0.000, 0.000, 0.000), Li at (0.000, 0.000, 0.500), Hf at (0.000, 0.500, 0.200) and In at (0.000, 0.500, 0.378).

***

(11)
Below is a relaxed structure of LiHfIn, with properties calculated at the PBE level.

The value obtained for the energy of formation is -0.143 eV/atom. The crystal system is tetragonal. As for the density of states at the Fermi level: 4.786 states/eV/cell. As for the polymorph energy (0 for the lowest one): 0.24 eV per formula unit. The value obtained for the total DFT energy (no corrections) is -5.012 eV/atom.

It has space group P4mm (No. 99), with a = 3.198 Å, b = 3.198 Å, c = 11.969 Å, α = 90.00°, β = 90.00° and γ = 90.00°. The asymmetric unit holds Li at (0.000, 0.000, 0.000), Li at (0.000, 0.000, 0.292), Hf at (0.000, 0.000, 0.645), Hf at (0.500, 0.500, 0.816), In at (0.500, 0.500, 0.138) and In at (0.500, 0.500, 0.448).

***

(12)
Below is a relaxed structure of Li3HfIn4, with properties calculated at the PBE level.

The value obtained for the energy of formation is -0.241 eV/atom. The crystal system is tetragonal. As for the density of states at the Fermi level: 3.481 states/eV/cell. The value obtained for the total DFT energy (no corrections) is -3.572 eV/atom.

It has space group P4/mmm (No. 123), with a = 3.202 Å, b = 3.202 Å, c = 15.697 Å, α = 90.00°, β = 90.00° and γ = 90.00°. The asymmetric unit holds Li at (0.000, 0.000, 0.000), Li at (0.000, 0.000, 0.245), Hf at (0.000, 0.000, 0.500), In at (0.500, 0.500, 0.124) and In at (0.500, 0.500, 0.364).

***

(13)
Below is a relaxed structure of LiHf4In5, with properties calculated at the PBE level.

The value obtained for the energy of formation is -0.174 eV/atom. The crystal system is tetragonal. As for the density of states at the Fermi level: 5.641 states/eV/cell. The value obtained for the total DFT energy (no corrections) is -5.716 eV/atom.

It has space group P4/mmm (No. 123), with a = 3.150 Å, b = 3.150 Å, c = 21.244 Å, α = 90.00°, β = 90.00° and γ = 90.00°. The asymmetric unit holds Li at (0.000, 0.000, 0.000), Hf at (0.000, 0.000, 0.188), Hf at (0.000, 0.000, 0.396), In at (0.500, 0.500, 0.087), In at (0.500, 0.500, 0.293) and In at (0.500, 0.500, 0.500).

***

(14)
Below is a relaxed structure of LiHf2In, with properties calculated at the PBE level.

The value obtained for the energy of formation is 0.399 eV/atom. The crystal system is tetragonal. As for the density of states at the Fermi level: 12.226 states/eV/cell. The value obtained for the total DFT energy (no corrections) is -5.741 eV/atom.

It has space group I-42d (No. 122), with a = 7.819 Å, b = 7.819 Å, c = 5.503 Å, α = 90.00°, β = 90.00° and γ = 90.00°. The asymmetric unit holds Li at (0.000, 0.000, 0.000), Hf at (0.233, 0.250, 0.125) and In at (0.000, 0.000, 0.500).

***

(15)
Below is a relaxed structure of LiHfIn, with properties calculated at the PBE level.

The value obtained for the energy of formation is -0.045 eV/atom. The crystal system is monoclinic. As for the density of states at the Fermi level: 4.385 states/eV/cell. As for the polymorph energy (0 for the lowest one): 0.53 eV per formula unit. The value obtained for the total DFT energy (no corrections) is -4.914 eV/atom.

It has space group Pm (No. 6), with a = 5.237 Å, b = 3.201 Å, c = 8.134 Å, α = 90.00°, β = 108.36° and γ = 90.00°. The asymmetric unit holds Li at (0.000, 0.000, 0.000), Li at (0.485, 0.500, 0.969), Hf at (0.555, 0.000, 0.325), Hf at (0.702, 0.500, 0.641), In at (0.046, 0.500, 0.308) and In at (0.212, 0.000, 0.665).

***

(16)
Below is a relaxed structure of Li3HfIn, with properties calculated at the PBE level.

The value obtained for the energy of formation is 0.638 eV/atom. The crystal system is cubic. As for the density of states at the Fermi level: 2.250 states/eV/cell. As for the polymorph energy (0 for the lowest one): 0.00 eV per formula unit. The value obtained for the total DFT energy (no corrections) is -3.048 eV/atom.

It has space group Pm-3m (No. 221), with a = 4.709 Å, b = 4.709 Å, c = 4.709 Å, α = 90.00°, β = 90.00° and γ = 90.00°. The asymmetric unit holds Li at (0.000, 0.000, 0.500), Hf at (0.500, 0.500, 0.500) and In at (0.000, 0.000, 0.000).

***

(17)
Below is a relaxed structure of LiHfIn, with properties calculated at the PBE level.

The value obtained for the energy of formation is 0.622 eV/atom. The crystal system is cubic. As for the density of states at the Fermi level: 0.807 states/eV/cell. As for the polymorph energy (0 for the lowest one): 2.53 eV per formula unit. The value obtained for the total DFT energy (no corrections) is -4.247 eV/atom.

It has space group F-43m (No. 216), with a = 6.704 Å, b = 6.704 Å, c = 6.704 Å, α = 90.00°, β = 90.00° and γ = 90.00°. The asymmetric unit holds Li at (0.000, 0.000, 0.000), Hf at (0.250, 0.250, 0.750) and In at (0.000, 0.000, 0.500).

***

(18)
Below is a relaxed structure of LiHfIn6, with properties calculated at the PBE level.

The value obtained for the energy of formation is -0.093 eV/atom. The crystal system is orthorhombic. As for the density of states at the Fermi level: 8.514 states/eV/cell. The value obtained for the total DFT energy (no corrections) is -3.631 eV/atom.

It has space group Cmmm (No. 65), with a = 9.053 Å, b = 9.074 Å, c = 4.470 Å, α = 90.00°, β = 90.00° and γ = 90.00°. The asymmetric unit holds Li at (0.000, 0.000, 0.000), Hf at (0.000, 0.500, 0.000), In at (0.000, 0.248, 0.500), In at (0.248, 0.000, 0.500) and In at (0.250, 0.250, 0.000).

***

(19)
Below is a relaxed structure of LiHfIn, with properties calculated at the PBE level.

The value obtained for the energy of formation is 0.004 eV/atom. The crystal system is orthorhombic. As for the density of states at the Fermi level: 10.333 states/eV/cell. As for the polymorph energy (0 for the lowest one): 0.68 eV per formula unit. The value obtained for the total DFT energy (no corrections) is -4.865 eV/atom.

It has space group Pnma (No. 62), with a = 6.421 Å, b = 4.218 Å, c = 8.950 Å, α = 90.00°, β = 90.00° and γ = 90.00°. The asymmetric unit holds Li at (0.133, 0.250, 0.086), Hf at (0.129, 0.250, 0.419) and In at (0.107, 0.250, 0.762).

***

(20)
Below is a relaxed structure of Li2HfIn2, with properties calculated at the PBE level.

The value obtained for the energy of formation is -0.143 eV/atom. The crystal system is tetragonal. As for the density of states at the Fermi level: 2.930 states/eV/cell. As for the polymorph energy (0 for the lowest one): 0.00 eV per formula unit. The value obtained for the total DFT energy (no corrections) is -3.995 eV/atom.

It has space group P4/mbm (No. 127), with a = 7.955 Å, b = 7.955 Å, c = 2.982 Å, α = 90.00°, β = 90.00° and γ = 90.00°. The asymmetric unit holds Li at (0.115, 0.385, 0.000), Hf at (0.000, 0.000, 0.000) and In at (0.183, 0.683, 0.500).